1.
## LaPr2PN5 (PBE)

Data for LaPr2PN5 after structural relaxation.

a b c (Å): 6.850 6.850 10.916
angles (deg): 90.00 90.00 90.00
Space group I4/mcm (No. 140)
Unique sites:
La: 0.000 0.000 0.250
Pr: 0.181 0.319 0.000
P: 0.000 0.500 0.250
N: 0.000 0.000 0.000
N: 0.133 0.367 0.345

Computed properties:
Theoretical density = 6.77 g cm⁻³
Uncorrected formation energy = -1136 meV/atom


2.
## Tl7Hg2Se2 (PBE)

Data for Tl7Hg2Se2 after structural relaxation.

a b c (Å): 8.894 11.272 7.751
angles (deg): 90.00 90.00 90.00
Space group Cmmm (No. 65)
Unique sites:
Tl: 0.000 0.000 0.000
Tl: 0.000 0.500 0.250
Tl: 0.250 0.250 0.290
Hg: 0.000 0.274 0.000
Se: 0.245 0.000 0.500

Computed properties:
Theoretical density = 8.50 g cm⁻³
Uncorrected formation energy = -65 meV/atom


3.
## BaEu2Sn (PBE)

Data for BaEu2Sn after structural relaxation.

a b c (Å): 4.043 4.043 10.139
angles (deg): 90.00 90.00 90.00
Space group P4/mmm (No. 123)
Unique sites:
Ba: 0.000 0.000 0.000
Eu: 0.500 0.500 0.320
Sn: 0.000 0.000 0.500

Computed properties:
Theoretical density = 5.61 g cm⁻³
Energy relative to the lowest polymorph listed for this composition = 40 meV/atom
ΔE_f = -319 meV per atom


Which spin magnetization belongs to each record? In order, 2.7 0.0 15.1 Bohr magnetons per cell.